[1]
First-principles (PBE) data for a relaxed structure of Ca2BeCo, as listed in Alexandria.

abc: 7.4867 7.4867 7.4867
angles: 94.32 94.32 148.13
Element x y z (fractional)
Ca 0.3750 0.1892 0.3142
Ca 0.8108 0.1250 0.1858
Ca 0.8750 0.0608 0.6858
Ca 0.9392 0.6250 0.8142
Be 0.2500 0.7500 0.5000
Be 0.5000 0.5000 0.0000
Co 0.0000 0.0000 0.0000
Co 0.7500 0.2500 0.5000

Summary:
calculated formation energy: 345 meV per atom
SG: I-42d, No. 122
calculated volume: 26.630 Å³ per atom
total DFT energy (no corrections): -13.5 eV/f.u.

=====

[2]
First-principles (PBE) data for a relaxed structure of PaP2N6, as listed in Alexandria.

abc: 5.7749 5.7749 6.0405
angles: 100.59 100.59 37.50
Element x y z (fractional)
Pa 0.0000 0.0000 0.0000
P 0.2610 0.2610 0.6691
P 0.7390 0.7390 0.3309
N 0.1312 0.1312 0.7572
N 0.2477 0.2477 0.3828
N 0.3954 0.3954 0.8435
N 0.6046 0.6046 0.1565
N 0.7523 0.7523 0.6172
N 0.8688 0.8688 0.2428

Summary:
polymorph energy (0 for the lowest one): 0.1843 eV/atom
SG: C2/m, No. 12
calculated volume: 13.368 Å³ per atom
energy relative to the elements, uncorrected: -80 kJ/mol of formula units
total DFT energy (no corrections): -71.1 eV/f.u.